{"formula": "ZnH2Cl", "functional": "PBE", "state": "relaxed", "cell": [[5.280, 0.000, 0.000], [0.000, 5.280, 0.000], [0.000, 0.000, 7.689]], "species": ["Zn", "Zn", "Zn", "Zn", "H", "H", "H", "H", "H", "H", "H", "H", "Cl", "Cl", "Cl", "Cl"], "frac_coords": [[0.000, 0.000, 0.000], [0.000, 0.500, 0.250], [0.500, 0.000, 0.750], [0.500, 0.500, 0.500], [0.072, 0.250, 0.125], [0.250, 0.572, 0.375], [0.250, 0.928, 0.875], [0.428, 0.250, 0.625], [0.572, 0.750, 0.625], [0.750, 0.072, 0.875], [0.750, 0.428, 0.375], [0.928, 0.750, 0.125], [0.000, 0.000, 0.500], [0.000, 0.500, 0.750], [0.500, 0.000, 0.250], [0.500, 0.500, 0.000]], "sg": "I-42d (122)"}



{"formula": "Zn2HCl", "functional": "PBE", "state": "relaxed", "cell": [[6.346, 0.000, 0.000], [0.000, 6.346, 0.000], [0.000, 0.000, 6.346]], "species": ["Zn", "Zn", "Zn", "Zn", "Zn", "Zn", "Zn", "Zn", "H", "H", "H", "H", "Cl", "Cl", "Cl", "Cl"], "frac_coords": [[0.250, 0.250, 0.250], [0.250, 0.250, 0.750], [0.250, 0.750, 0.250], [0.250, 0.750, 0.750], [0.750, 0.250, 0.250], [0.750, 0.250, 0.750], [0.750, 0.750, 0.250], [0.750, 0.750, 0.750], [0.000, 0.000, 0.000], [0.000, 0.500, 0.500], [0.500, 0.000, 0.500], [0.500, 0.500, 0.000], [0.000, 0.000, 0.500], [0.000, 0.500, 0.000], [0.500, 0.000, 0.000], [0.500, 0.500, 0.500]], "sg": "Fm-3m (225)"}



Values for energy above the lowest structure with this stoichiometry, eV per formula unit, ordered as above
0.00, 2.15
Values for ρ, g/cm³, ordered as above
3.2, 4.3